Entry 1:
## VCr3P (GGA-PBE)

Data for VCr3P after structural relaxation.

abc: 4.234 4.234 4.234
angles: 90.00 90.00 90.00
Space group Pm-3m (No. 221)
One atom of each set of equivalent atoms:
V: 0.000 0.000 0.000
Cr: 0.000 0.500 0.500
P: 0.500 0.500 0.500

Calculated values
- M_tot (μB/cell) = 3.54
- DOS at the Fermi energy (states/eV/cell) = 5.39
- crystal system = cubic
- ΔE to the lowest computed polymorph (eV/atom) = 0.000

***

Entry 2:
## SiRuSe2O (GGA-PBE)

Data for SiRuSe2O after structural relaxation.

abc: 4.881 4.881 3.227
angles: 90.00 90.00 90.00
Space group P4/mmm (No. 123)
One atom of each set of equivalent atoms:
Si: 0.000 0.000 0.000
Ru: 0.500 0.500 0.500
Se: 0.000 0.500 0.000
O: 0.000 0.000 0.500

Calculated values
- M_tot (μB/cell) = 0.00
- raw formation energy (eV/atom) = -0.1867
- DOS at the Fermi energy (states/eV/cell) = 2.92
- crystal system = tetragonal
- ΔE to the lowest computed polymorph (eV/atom) = 0.000